Record 1
First-principles (GGA-PBE) data for crystalline MgNi3 at its relaxed geometry, as listed in Alexandria via LeMat-Bulk.

Structure (CIF):
```
data_MgNi3
_cell_length_a 2.6313
_cell_length_b 2.6313
_cell_length_c 24.6517
_cell_angle_alpha 90.00
_cell_angle_beta 90.00
_cell_angle_gamma 120.00
_symmetry_space_group_name_H-M 'R -3 m'
_symmetry_Int_Tables_number 166
_symmetry_space_group_name_Hall '-R 3 2"'
loop_
_atom_site_label
_atom_site_type_symbol
_atom_site_fract_x
_atom_site_fract_y
_atom_site_fract_z
Mg1 Mg 0.0000 0.0000 0.0000
Ni1 Ni 0.0000 0.0000 0.2465
Ni2 Ni 0.0000 0.0000 0.5000
```

Computed properties:
M_tot ... 2.87 μB per cell

---

Record 2
First-principles (GGA-PBE) data for crystalline Mg2Ni at its relaxed geometry, as listed in Alexandria via LeMat-Bulk.

Structure (CIF):
```
data_Mg2Ni
_cell_length_a 6.9154
_cell_length_b 6.9154
_cell_length_c 3.7462
_cell_angle_alpha 90.00
_cell_angle_beta 90.00
_cell_angle_gamma 120.00
_symmetry_space_group_name_H-M 'P -6 2 m'
_symmetry_Int_Tables_number 189
_symmetry_space_group_name_Hall 'P -6 -2'
loop_
_atom_site_label
_atom_site_type_symbol
_atom_site_fract_x
_atom_site_fract_y
_atom_site_fract_z
Mg1 Mg 0.0000 0.2561 0.0000
Mg2 Mg 0.0000 0.5912 0.5000
Ni1 Ni 0.0000 0.0000 0.5000
Ni2 Ni 0.3333 0.6667 0.0000
```

Computed properties:
M_tot ... 0.00 μB per cell

---

Record 3
First-principles (GGA-PBE) data for crystalline MgNi3 at its relaxed geometry, as listed in Alexandria via LeMat-Bulk.

Structure (CIF):
```
data_MgNi3
_cell_length_a 3.674
_cell_length_b 3.674
_cell_length_c 14.378
_cell_angle_alpha 90.00
_cell_angle_beta 90.00
_cell_angle_gamma 90.00
_symmetry_space_group_name_H-M 'I 4/m m m'
_symmetry_Int_Tables_number 139
_symmetry_space_group_name_Hall '-I 4 2'
loop_
_atom_site_label
_atom_site_type_symbol
_atom_site_fract_x
_atom_site_fract_y
_atom_site_fract_z
Mg1 Mg 0.000 0.000 0.124
Ni1 Ni 0.000 0.000 0.374
Ni2 Ni 0.000 0.500 0.000
Ni3 Ni 0.000 0.500 0.250
```

Computed properties:
M_tot ... 3.68 μB per cell

---

Fermi-level density of states? In order: 1.26; 0.64; 1.04 states/eV/atom.
Total DFT energy (no corrections)? In order: -4.630; -3.048; -4.804 eV/atom.
Energy of formation from the pure elements? In order: 0.104; -0.058; -0.070 eV per atom.